Computed, not measured: BeReAs at its PBEsol-relaxed geometry at the SCAN level of DFT.

Geometry as CIF:
```
data_BeReAs
_chemical_formula_sum 'Be2 Re2 As2'
_space_group_name_H-M_alt 'I 4 m m'
_space_group_IT_number 107
_space_group_name_Hall 'I 4 -2'
_cell_length_a 3.097
_cell_length_b 3.097
_cell_length_c 7.723
_cell_angle_alpha 90.00
_cell_angle_beta 90.00
_cell_angle_gamma 90.00
loop_
_atom_site_label
_atom_site_fract_x
_atom_site_fract_y
_atom_site_fract_z
_atom_site_occupancy
Be1 0.000 0.000 0.000 1
Re1 0.000 0.000 0.661 1
As1 0.000 0.000 0.331 1
```

## Properties
mass density = 12.109 g cm⁻³
energy of formation from the pure elements = -0.194 eV/atom
Fermi-level density of states = 0.065 states/eV/atom
energy above the most stable polymorph in this dataset = 0 meV per atom
E_tot = -32.07 eV per atom